Entry 1:
VASP calculation (PBE) on a relaxed structure of Cs3HfPt.

Lattice parameters (Å, degrees): 6.642 6.642 6.642 90.00 90.00 90.00
Sites, in units of the cell vectors:
1 Cs 0.000 0.000 0.500
2 Cs 0.000 0.500 0.000
3 Cs 0.500 0.000 0.000
4 Hf 0.500 0.500 0.500
5 Pt 0.000 0.000 0.000

Properties
Space-group type: Pm-3m (221)

***

Entry 2:
VASP calculation (PBE) on a relaxed structure of CsHfPt2.

Lattice parameters (Å, degrees): 6.873 6.873 6.873 110.56 110.56 107.31
Sites, in units of the cell vectors:
1 Cs 0.000 0.000 0.000
2 Cs 0.750 0.250 0.500
3 Hf 0.250 0.750 0.500
4 Hf 0.500 0.500 0.000
5 Pt 0.209 0.625 0.084
6 Pt 0.375 0.459 0.584
7 Pt 0.541 0.125 0.916
8 Pt 0.875 0.791 0.416

Properties
Space-group type: I-42d (122)
E above lowest polymorph (eV per atom): 0.000

***

| no. | ΔE_f (eV/atom) | total DFT energy (no corrections) (eV per atom) | volume (Å³ per atom) |
| --- | --- | --- | --- |
| 1 | 1.054 | -2.6568 | 58.612 |
| 2 | -0.013 | -5.7355 | 31.204 |